A relaxed structure of Nd4CdPb. Source: the Alexandria database, functional GGA-PBE.

Geometry as POSCAR:
```
Nd4CdPb
1.0
5.338 0.000 0.000
0.000 5.338 0.000
0.000 0.000 7.535
Nd Cd Pb
4 1 1
direct
0.000 0.500 0.240 Nd
0.000 0.500 0.760 Nd
0.500 0.000 0.240 Nd
0.500 0.000 0.760 Nd
0.000 0.000 0.000 Cd
0.500 0.500 0.500 Pb
```

Calculated values
The energy relative to the elements comes out at -79.6 meV/atom. For the electronic total energy, the calculation gives -4.029 eV per atom. As for the space group: No. 123. The size of the total moment comes out at 0.0 μB per formula unit.



A relaxed structure of Nd2Cd16Pb. Source: the Alexandria database, functional GGA-PBE.

Geometry as POSCAR:
```
Nd2Cd16Pb
1.0
5.149 2.973 4.919
-5.149 2.973 4.919
0.000 -5.945 4.919
Nd Cd Pb
2 16 1
direct
0.000 0.000 0.000 Nd
0.333 0.333 0.333 Nd
0.023 0.023 0.484 Cd
0.023 0.484 0.023 Cd
0.148 0.677 0.677 Cd
0.312 0.312 0.825 Cd
0.312 0.825 0.312 Cd
0.354 0.663 0.977 Cd
0.354 0.977 0.663 Cd
0.484 0.023 0.023 Cd
0.663 0.354 0.977 Cd
0.663 0.977 0.354 Cd
0.677 0.148 0.677 Cd
0.677 0.677 0.148 Cd
0.769 0.769 0.769 Cd
0.825 0.312 0.312 Cd
0.977 0.354 0.663 Cd
0.977 0.663 0.354 Cd
0.564 0.564 0.564 Pb
```

Calculated values
The energy relative to the elements comes out at -142.6 meV/atom. For the electronic total energy, the calculation gives -1.610 eV per atom. As for the space group: No. 160. The size of the total moment comes out at 0.0 μB per formula unit.



A relaxed structure of NdCd2Pb3. Source: the Alexandria database, functional GGA-PBE.

Geometry as POSCAR:
```
NdCd2Pb3
1.0
4.845 0.000 0.000
0.000 15.013 0.000
0.000 0.000 4.627
Nd Cd Pb
2 4 6
direct
0.000 0.000 0.000 Nd
0.500 0.500 0.000 Nd
0.000 0.333 0.000 Cd
0.000 0.667 0.000 Cd
0.500 0.167 0.000 Cd
0.500 0.833 0.000 Cd
0.000 0.170 0.500 Pb
0.000 0.500 0.500 Pb
0.000 0.830 0.500 Pb
0.500 0.000 0.500 Pb
0.500 0.330 0.500 Pb
0.500 0.670 0.500 Pb
```

Calculated values
The energy relative to the elements comes out at -202.5 meV/atom. For the electronic total energy, the calculation gives -3.156 eV per atom. As for the space group: No. 65. The size of the total moment comes out at 0.0 μB per formula unit.



A relaxed structure of NdCd2Pb3. Source: the Alexandria database, functional GGA-PBE.

Geometry as POSCAR:
```
NdCd2Pb3
1.0
3.328 -8.419 0.000
3.328 8.419 0.000
0.000 0.000 6.141
Nd Cd Pb
2 4 6
direct
0.162 0.838 0.750 Nd
0.838 0.162 0.250 Nd
0.228 0.228 0.000 Cd
0.228 0.228 0.500 Cd
0.772 0.772 0.000 Cd
0.772 0.772 0.500 Cd
0.079 0.409 0.750 Pb
0.357 0.643 0.250 Pb
0.409 0.079 0.250 Pb
0.591 0.921 0.750 Pb
0.643 0.357 0.750 Pb
0.921 0.591 0.250 Pb
```

Calculated values
The energy relative to the elements comes out at -161.9 meV/atom. For the electronic total energy, the calculation gives -3.116 eV per atom. As for the space group: No. 63. The size of the total moment comes out at 0.0 μB per formula unit.



A relaxed structure of NdCd4Pb. Source: the Alexandria database, functional GGA-PBE.

Geometry as POSCAR:
```
NdCd4Pb
1.0
0.000 4.261 4.261
4.261 0.000 4.261
4.261 4.261 0.000
Nd Cd Pb
1 4 1
direct
0.000 0.000 0.000 Nd
0.375 0.375 0.375 Cd
0.375 0.375 0.875 Cd
0.375 0.875 0.375 Cd
0.875 0.375 0.375 Cd
0.750 0.750 0.750 Pb
```

Calculated values
The energy relative to the elements comes out at -147.6 meV/atom. For the electronic total energy, the calculation gives -2.170 eV per atom. As for the space group: No. 216. The size of the total moment comes out at 0.0 μB per formula unit.



A relaxed structure of NdCdPb6. Source: the Alexandria database, functional GGA-PBE.

Geometry as POSCAR:
```
NdCdPb6
1.0
9.688 0.000 0.000
0.000 9.813 0.000
0.000 0.000 5.023
Nd Cd Pb
2 2 12
direct
0.000 0.000 0.000 Nd
0.500 0.500 0.000 Nd
0.000 0.500 0.000 Cd
0.500 0.000 0.000 Cd
0.000 0.257 0.500 Pb
0.000 0.743 0.500 Pb
0.240 0.500 0.500 Pb
0.250 0.250 0.000 Pb
0.250 0.750 0.000 Pb
0.260 0.000 0.500 Pb
0.500 0.243 0.500 Pb
0.500 0.757 0.500 Pb
0.740 0.000 0.500 Pb
0.750 0.250 0.000 Pb
0.750 0.750 0.000 Pb
0.760 0.500 0.500 Pb
```

Calculated values
The energy relative to the elements comes out at -135.1 meV/atom. For the electronic total energy, the calculation gives -3.627 eV per atom. As for the space group: No. 65. The size of the total moment comes out at 0.0 μB per formula unit.



A relaxed structure of Nd7Cd2Pb2. Source: the Alexandria database, functional GGA-PBE.

Geometry as POSCAR:
```
Nd7Cd2Pb2
1.0
3.950 -5.780 0.000
3.950 5.780 0.000
0.000 0.000 8.307
Nd Cd Pb
7 2 2
direct
0.000 0.000 0.000 Nd
0.000 0.500 0.291 Nd
0.000 0.500 0.709 Nd
0.500 0.000 0.291 Nd
0.500 0.000 0.709 Nd
0.500 0.500 0.238 Nd
0.500 0.500 0.762 Nd
0.280 0.720 0.000 Cd
0.720 0.280 0.000 Cd
0.192 0.192 0.500 Pb
0.808 0.808 0.500 Pb
```

Calculated values
The energy relative to the elements comes out at -24.2 meV/atom. For the electronic total energy, the calculation gives -3.899 eV per atom. As for the space group: No. 65. The size of the total moment comes out at 0.0 μB per formula unit.



A relaxed structure of NdCdPb3. Source: the Alexandria database, functional GGA-PBE.

Geometry as POSCAR:
```
NdCdPb3
1.0
4.463 0.000 0.000
0.000 6.737 0.000
0.000 0.000 10.583
Nd Cd Pb
2 2 6
direct
0.250 0.250 0.096 Nd
0.750 0.750 0.904 Nd
0.250 0.750 0.451 Cd
0.750 0.250 0.549 Cd
0.250 0.501 0.706 Pb
0.250 0.750 0.123 Pb
0.250 0.999 0.706 Pb
0.750 0.001 0.294 Pb
0.750 0.250 0.877 Pb
0.750 0.499 0.294 Pb
```

Calculated values
The energy relative to the elements comes out at -100.9 meV/atom. For the electronic total energy, the calculation gives -3.463 eV per atom. As for the space group: No. 59. The size of the total moment comes out at 0.0 μB per formula unit.